Entry from the Alexandria database: a geometry-optimized TbPrS structure (PBE-GGA).

a b c (Å): 3.888 3.888 6.538
angles (deg): 90.00 90.00 120.00
Positions (direct):
Tb 0.000 0.000 0.000
Pr 0.667 0.333 0.518
S 0.333 0.667 0.244

Raw formation energy = -1.2483 eV/atom
Energy above the lowest structure with this stoichiometry = 0 meV per atom
Spin magnetization = 0.0 μB/cell

---

Entry from the Alexandria database: a geometry-optimized HfBRh3 structure (PBE-GGA).

a b c (Å): 7.372 7.372 7.372
angles (deg): 140.29 140.29 57.42
Positions (direct):
Hf 0.197 0.197 0.000
Hf 0.803 0.803 0.000
B 0.500 0.500 0.000
B 0.750 0.250 0.500
Rh 0.095 0.595 0.500
Rh 0.123 0.385 0.738
Rh 0.405 0.905 0.500
Rh 0.615 0.354 0.738
Rh 0.615 0.877 0.262
Rh 0.646 0.385 0.262

Energy above the lowest structure with this stoichiometry = 576 meV per atom
Spin magnetization = 0.0 μB/cell

---

Entry from the Alexandria database: a geometry-optimized IrPd2Se2 structure (PBE-GGA).

a b c (Å): 7.348 7.348 7.348
angles (deg): 151.74 151.74 40.40
Positions (direct):
Ir 0.000 0.000 0.000
Pd 0.250 0.750 0.500
Pd 0.750 0.250 0.500
Se 0.397 0.397 0.000
Se 0.603 0.603 0.000

Raw formation energy = 0.5029 eV/atom
Spin magnetization = 0.0 μB/cell

---

What did the second record say?
Entry from the Alexandria database: a geometry-optimized HfBRh3 structure (PBE-GGA).

a b c (Å): 7.372 7.372 7.372
angles (deg): 140.29 140.29 57.42
Positions (direct):
Hf 0.197 0.197 0.000
Hf 0.803 0.803 0.000
B 0.500 0.500 0.000
B 0.750 0.250 0.500
Rh 0.095 0.595 0.500
Rh 0.123 0.385 0.738
Rh 0.405 0.905 0.500
Rh 0.615 0.354 0.738
Rh 0.615 0.877 0.262
Rh 0.646 0.385 0.262

Energy above the lowest structure with this stoichiometry = 576 meV per atom
Spin magnetization = 0.0 μB/cell

---

Q: Which formula does entry 1 have?
A: TbPrS

---

Q: Look up the spin magnetization of the second one.
A: 0.0 μB/cell

---

Please write out number 1 again, unchanged.
Entry from the Alexandria database: a geometry-optimized TbPrS structure (PBE-GGA).

a b c (Å): 3.888 3.888 6.538
angles (deg): 90.00 90.00 120.00
Positions (direct):
Tb 0.000 0.000 0.000
Pr 0.667 0.333 0.518
S 0.333 0.667 0.244

Raw formation energy = -1.2483 eV/atom
Energy above the lowest structure with this stoichiometry = 0 meV per atom
Spin magnetization = 0.0 μB/cell